# K3Tm3CrO8

A geometry-optimized K3Tm3CrO8 structure (PBE+U, Alexandria via LeMat-Bulk).

Structure (POSCAR):
```
K3Tm3CrO8
1.0
3.305 1.908 6.273
-3.305 1.908 6.273
0.000 -3.817 6.273
K Tm Cr O
3 3 1 8
Direct
0.000 0.500 0.500 K
0.500 0.000 0.500 K
0.500 0.500 0.000 K
0.000 0.000 0.500 Tm
0.000 0.500 0.000 Tm
0.500 0.000 0.000 Tm
0.500 0.500 0.500 Cr
0.227 0.227 0.227 O
0.255 0.707 0.707 O
0.293 0.293 0.745 O
0.293 0.745 0.293 O
0.707 0.255 0.707 O
0.707 0.707 0.255 O
0.745 0.293 0.293 O
0.773 0.773 0.773 O
```

The calculation puts the total DFT energy (no corrections) at -6.83 eV per atom. As for the total magnetization: 1.99 μB per formula unit. The symmetry is R-3m, No. 166. Its calculated volume is 237.5 Å³/cell.